Compound: Si4Ir5
Source: Alexandria
Functional: PBE-GGA
Structure: optimized geometry

Raw formation energy   -0.106 eV per atom
Energy   -7.439 eV per atom

Cell: 7.9206 7.9206 4.0959 Å, 90.00 90.00 90.00°
Closest atoms and distances in Å follow each position.
Space group I4/mmm (No. 139)
Symmetry-distinct sites (fractional):
1 Si 0.0000 0.3095 0.0000  7 Ir 2.45-2.69
2 Ir 0.0000 0.0000 0.0000  4 Si 2.45
3 Ir 0.1737 0.1737 0.5000  6 Si 2.59-2.69, 6 Ir 2.67-2.82